1.
Crystalline Na2Ga5Pt3 at its relaxed geometry. Source: Alexandria, functional GGA-PBE.

It has space group Cmc2_1 (No. 36), with a = 4.3371 Å, b = 24.5718 Å, c = 6.7850 Å, α = 90.00°, β = 90.00° and γ = 90.00°. The distinct sites, in fractional coordinates, are Na at (0.0000, 0.0170, 0.0000), Na at (0.0000, 0.3250, 0.0293), Ga at (0.0000, 0.1025, 0.3537), Ga at (0.0000, 0.2068, 0.2408), Ga at (0.0000, 0.2077, 0.8242), Ga at (0.0000, 0.3798, 0.4892), Ga at (0.0000, 0.4504, 0.1657), Pt at (0.0000, 0.1064, 0.7410), Pt at (0.0000, 0.2754, 0.5333) and Pt at (0.0000, 0.4480, 0.7810).

2.
Crystalline NaGa4Pt5 at its relaxed geometry. Source: Alexandria, functional GGA-PBE.

It has space group Pmmn (No. 59, origin choice 2), with a = 7.7341 Å, b = 8.8463 Å, c = 5.5596 Å, α = 90.00°, β = 90.00° and γ = 90.00°. The distinct sites, in fractional coordinates, are Na at (0.2500, 0.2500, 0.0217), Ga at (0.0097, 0.2500, 0.5452), Ga at (0.2500, 0.5751, 0.0824), Pt at (0.0248, 0.5048, 0.7435) and Pt at (0.2500, 0.7500, 0.7277).

3.
Crystalline NaGa4Pt6 at its relaxed geometry. Source: Alexandria, functional GGA-PBE.

It has space group P-6m2 (No. 187), with a = 7.3985 Å, b = 7.3985 Å, c = 3.8778 Å, α = 90.00°, β = 90.00° and γ = 120.00°. The distinct sites, in fractional coordinates, are Na at (0.0000, 0.0000, 0.0000), Ga at (0.3333, 0.6667, 0.0000), Ga at (0.3872, 0.1936, 0.5000), Pt at (0.1984, 0.3967, 0.5000) and Pt at (0.5342, 0.0684, 0.0000).

4.
Crystalline NaGaPt at its relaxed geometry. Source: Alexandria, functional GGA-PBE.

It has space group P-6m2 (No. 187), with a = 4.4992 Å, b = 4.4992 Å, c = 3.0172 Å, α = 90.00°, β = 90.00° and γ = 120.00°. The distinct sites, in fractional coordinates, are Na at (0.0000, 0.0000, 0.0000), Ga at (0.6667, 0.3333, 0.5000) and Pt at (0.3333, 0.6667, 0.5000).

5.
Crystalline Na2Ga9Pt3 at its relaxed geometry. Source: Alexandria, functional GGA-PBE.

It has space group C2/c (No. 15), with a = 13.1808 Å, b = 7.6291 Å, c = 10.6906 Å, α = 90.00°, β = 114.61° and γ = 90.00°. The distinct sites, in fractional coordinates, are Na at (0.1674, 0.0841, 0.2495), Ga at (0.0000, 0.3743, 0.2500), Ga at (0.0568, 0.0785, 0.9198), Ga at (0.1039, 0.3129, 0.7491), Ga at (0.1093, 0.4147, 0.0737), Ga at (0.2256, 0.4158, 0.4226), Pt at (0.0844, 0.2490, 0.5006) and Pt at (0.2500, 0.2500, 0.0000).

6.
Crystalline Na2Ga4Pt at its relaxed geometry. Source: Alexandria, functional GGA-PBE.

It has space group I4/mmm (No. 139), with a = 4.8119 Å, b = 4.8119 Å, c = 15.6680 Å, α = 90.00°, β = 90.00° and γ = 90.00°. The distinct sites, in fractional coordinates, are Na at (0.0000, 0.0000, 0.1497), Ga at (0.0000, 0.0000, 0.3345), Ga at (0.0000, 0.5000, 0.0000) and Pt at (0.0000, 0.0000, 0.5000).

7.
Crystalline NaGa6Pt4 at its relaxed geometry. Source: Alexandria, functional GGA-PBE.

It has space group I-42m (No. 121), with a = 6.6233 Å, b = 6.6233 Å, c = 9.4806 Å, α = 90.00°, β = 90.00° and γ = 90.00°. The distinct sites, in fractional coordinates, are Na at (0.0000, 0.0000, 0.0000), Ga at (0.0000, 0.5000, 0.0000), Ga at (0.1729, 0.1729, 0.2951) and Pt at (0.1792, 0.1792, 0.5842).

8.
Crystalline NaGaPt at its relaxed geometry. Source: Alexandria, functional GGA-PBE.

It has space group Imma (No. 74), with a = 5.3864 Å, b = 5.6156 Å, c = 7.1581 Å, α = 90.00°, β = 90.00° and γ = 90.00°. The distinct sites, in fractional coordinates, are Na at (0.0000, 0.2500, 0.1340), Ga at (0.2500, 0.2500, 0.7500) and Pt at (0.0000, 0.0000, 0.5000).

9.
Crystalline Na2Ga5Pt at its relaxed geometry. Source: Alexandria, functional GGA-PBE.

It has space group I4mm (No. 107), with a = 5.8003 Å, b = 5.8003 Å, c = 11.0243 Å, α = 90.00°, β = 90.00° and γ = 90.00°. The distinct sites, in fractional coordinates, are Na at (0.0000, 0.5000, 0.0000), Ga at (0.0000, 0.0000, 0.0902), Ga at (0.2291, 0.2291, 0.2673) and Pt at (0.0000, 0.0000, 0.8665).

10.
Crystalline NaGa2Pt3 at its relaxed geometry. Source: Alexandria, functional GGA-PBE.

It has space group P6/mmm (No. 191), with a = 5.6471 Å, b = 5.6471 Å, c = 3.9492 Å, α = 90.00°, β = 90.00° and γ = 120.00°. The distinct sites, in fractional coordinates, are Na at (0.0000, 0.0000, 0.0000), Ga at (0.3333, 0.6667, 0.0000) and Pt at (0.0000, 0.5000, 0.5000).

11.
Crystalline NaGaPt at its relaxed geometry. Source: Alexandria, functional GGA-PBE.

It has space group Fddd (No. 70, origin choice 2), with a = 7.3484 Å, b = 11.2675 Å, c = 12.3657 Å, α = 90.00°, β = 90.00° and γ = 90.00°. The distinct sites, in fractional coordinates, are Na at (0.0000, 0.0000, 0.0000), Ga at (0.1250, 0.2578, 0.6250) and Pt at (0.1250, 0.1250, 0.4582).

12.
Crystalline NaGa5Pt3 at its relaxed geometry. Source: Alexandria, functional GGA-PBE.

It has space group Cmcm (No. 63), with a = 4.0295 Å, b = 13.1889 Å, c = 13.1155 Å, α = 90.00°, β = 90.00° and γ = 90.00°. The distinct sites, in fractional coordinates, are Na at (0.0000, 0.1589, 0.2500), Ga at (0.0000, 0.0000, 0.0000), Ga at (0.0000, 0.2046, 0.5692), Ga at (0.0000, 0.4470, 0.1515), Pt at (0.0000, 0.1266, 0.7500) and Pt at (0.0000, 0.3892, 0.5387).

The energy above the most stable polymorph in this dataset comes out at 0 kJ/mol of formula units.

Number 1: ΔE_f -5.1 eV/f.u., total moment 0.00 μB/f.u.. Number 2: ΔE_f -4.6 eV/f.u., total moment 0.00 μB/f.u.. Number 3: ΔE_f -6.8 eV/f.u., total moment 0.00 μB/f.u.. Number 4: ΔE_f -1.1 eV/f.u., total moment 0.00 μB/f.u.. Number 5: ΔE_f -6.4 eV/f.u., total moment 0.00 μB/f.u.. Number 6: ΔE_f -0.4 eV/f.u., total moment 0.00 μB/f.u.. Number 7: ΔE_f -6.3 eV/f.u., total moment 0.00 μB/f.u.. Number 8: ΔE_f -1.4 eV/f.u., total moment 0.00 μB/f.u.. Number 9: ΔE_f -1.7 eV/f.u., total moment 0.00 μB/f.u.. Number 10: ΔE_f -3.6 eV/f.u., total moment 0.00 μB/f.u.. Number 11: ΔE_f -1.5 eV/f.u., total moment 0.00 μB/f.u.. Number 12: ΔE_f -4.3 eV/f.u., total moment 0.00 μB/f.u..